# 1
La2PmEu | the Alexandria database | PBE | optimized geometry; calculated density = 6.4 g/cm³; ΔE_f = 0.034 eV/atom; excess energy over the best structure of this formula in the dataset = 0 meV/atom
1.0
-1.931 -1.371 2.915
-2.500 -1.505 -2.364
5.735 -8.912 -0.391
La Eu Pm
2 1 1
direct
0.000 0.000 0.764
0.000 0.000 0.236
0.500 0.500 0.500
0.500 0.500 0.000


# 2
LaPmEu | the Alexandria database | PBE | optimized geometry; calculated density = 6.4 g/cm³; ΔE_f = 0.030 eV/atom
1.0
-2.844 -2.245 -0.991
1.249 -2.629 2.374
-3.683 5.550 5.115
Pm La Eu
1 1 1
direct
0.328 0.328 0.656
0.674 0.674 0.347
0.998 0.998 0.996


# 3
LaPmPrEu | the Alexandria database | PBE | optimized geometry; calculated density = 6.5 g/cm³; ΔE_f = 0.124 eV/atom
1.0
-0.386 3.018 -5.105
-3.088 -2.247 -4.554
-5.158 2.479 -1.604
Pr La Pm Eu
1 1 1 1
direct
0.750 0.750 0.750
0.250 0.250 0.250
0.500 0.500 0.500
0.000 0.000 0.000


# 4
LaPmEuRu | the Alexandria database | PBE | optimized geometry; calculated density = 8.5 g/cm³; ΔE_f = 0.159 eV/atom
1.0
-2.411 -2.161 4.197
1.501 -4.771 1.753
2.585 -0.438 4.606
Eu La Ru Pm
1 1 1 1
direct
0.750 0.750 0.750
0.000 0.000 0.000
0.250 0.250 0.250
0.500 0.500 0.500


- Which of these has the highest ΔE_f?
  LaPmEuRu